1.
Computed, not measured: an optimized crystal structure of Ag2Mo2Ru at the PBE level of DFT.

It has space group I4/mmm (No. 139), with a = 3.619 Å, b = 3.619 Å, c = 13.836 Å, α = 90.00°, β = 90.00° and γ = 90.00°. The asymmetric unit holds Ag at (0.000, 0.500, 0.250), Mo at (0.000, 0.000, 0.081) and Ru at (0.000, 0.000, 0.500).

The value obtained for the final energy is -64.61 eV for the cell shown. For the calculated volume, the calculation gives 181 Å³/cell. The calculation puts the formation energy at 0.87 eV/atom. The value obtained for the density of states at the Fermi level is 10.0 states/eV per cell. Its crystal system is tetragonal. For the size of the total moment, the calculation gives 0.000 Bohr magnetons per cell.

2.
Computed, not measured: an optimized crystal structure of Ag2MoRu at the PBE level of DFT.

It has space group F-43m (No. 216), with a = 6.381 Å, b = 6.381 Å, c = 6.381 Å, α = 90.00°, β = 90.00° and γ = 90.00°. The asymmetric unit holds Ag at (0.000, 0.000, 0.000), Ag at (0.250, 0.250, 0.250), Mo at (0.000, 0.000, 0.500) and Ru at (0.250, 0.250, 0.750).

The value obtained for the final energy is -93.26 eV for the cell shown. For the calculated volume, the calculation gives 260 Å³/cell. The calculation puts the formation energy at 0.62 eV/atom. The value obtained for the density of states at the Fermi level is 23.1 states/eV per cell. Its crystal system is cubic. For the size of the total moment, the calculation gives 0.593 Bohr magnetons per cell.

3.
Computed, not measured: an optimized crystal structure of AgMoRu3 at the PBE level of DFT.

It has space group Pm-3m (No. 221), with a = 4.664 Å, b = 4.664 Å, c = 4.664 Å, α = 90.00°, β = 90.00° and γ = 90.00°. The asymmetric unit holds Ag at (0.000, 0.000, 0.000), Mo at (0.500, 0.500, 0.500) and Ru at (0.000, 0.500, 0.500).

The value obtained for the final energy is -33.70 eV for the cell shown. For the calculated volume, the calculation gives 101 Å³/cell. The calculation puts the formation energy at 1.56 eV/atom. The value obtained for the density of states at the Fermi level is 7.0 states/eV per cell. Its crystal system is cubic. For the size of the total moment, the calculation gives 2.440 Bohr magnetons per cell.